Sr2YCoCu2O7: relaxed, PBE with a Hubbard U.

```
Sr2YCoCu2O7
1.0
3.8394 -11.6057 0.0000
3.8394 11.6057 0.0000
-3.8300 0.0000 3.8842
Sr Y Co Cu O
4 2 2 4 14
direct
0.1397 0.3362 0.4762
0.3362 0.1397 0.4762
0.6638 0.8603 0.5238
0.8603 0.6638 0.5238
0.0000 0.5000 0.5000
0.5000 0.0000 0.5000
0.3109 0.3109 0.0001
0.6891 0.6891 0.9999
0.0727 0.4289 0.0000
0.4289 0.0727 0.0000
0.5711 0.9273 0.0000
0.9273 0.5711 0.0000
0.1556 0.3035 0.9994
0.1864 0.8136 0.5000
0.1890 0.8110 0.0000
0.3035 0.1556 0.9994
0.3131 0.6869 0.0000
0.3137 0.6863 0.5000
0.3293 0.3293 0.6578
0.6707 0.6707 0.3422
0.6863 0.3137 0.5000
0.6869 0.3131 0.0000
0.6965 0.8444 0.0006
0.8110 0.1890 0.0000
0.8136 0.1864 0.5000
0.8444 0.6965 0.0006
```

Results
The volume comes out at 13.31 Å³/atom. The calculated total energy comes out at -6.38 eV/atom.